{"formula": "K2CdHg2", "functional": "PBE", "state": "relaxed", "magnetic_moment_mub_per_cell": 0.000, "delta_e_f_ev_per_fu": -0.4, "polymorph_energy_mev_per_atom": 138, "energy_ev_per_atom": -0.822, "lattice": [[10.223, 0.000, 0.000], [0.000, 10.223, 0.000], [0.000, 0.000, 3.603]], "species": ["K", "K", "K", "K", "Hg", "Hg", "Hg", "Hg", "Cd", "Cd"], "fractional_positions": [[0.313, 0.813, 0.000], [0.813, 0.687, 0.000], [0.687, 0.187, 0.000], [0.187, 0.313, 0.000], [0.107, 0.607, 0.500], [0.607, 0.893, 0.500], [0.893, 0.393, 0.500], [0.393, 0.107, 0.500], [0.000, 0.000, 0.000], [0.500, 0.500, 0.000]]}